DFT (GGA+U) results for a relaxed AcTl3Cr2O8 crystal.

Results
E, eV per atom: -6.232

Cell: 6.1925 6.1925 7.9555 Å, 90.00 90.00 120.00°
Space group P-3m1 (No. 164)
Unique sites:
Ac 0.0000 0.0000 0.0000 (multiplicity 1)
Tl 0.0000 0.0000 0.5000 (multiplicity 1)
Tl 0.3333 0.6667 0.2059 (multiplicity 2)
Cr 0.3333 0.6667 0.7253 (multiplicity 2)
O 0.1805 0.3611 0.8024 (multiplicity 6)
O 0.3333 0.6667 0.5135 (multiplicity 2)